Below is Pa2ZnRh5 after structural relaxation, with properties calculated at the PBE level.

## Properties
energy of formation = -278 meV/atom

Unit cell a=4.0560 b=8.2709 c=11.1775 alpha=90.00 beta=90.00 gamma=104.19
Sites, in units of the cell vectors:
Pa 0.8698 0.7396 0.4236
Pa 0.8698 0.7396 0.0764
Pa 0.1302 0.2604 0.5764
Pa 0.1302 0.2604 0.9236
Zn 0.8537 0.7074 0.7500
Zn 0.1463 0.2926 0.2500
Rh 0.9915 0.9830 0.8744
Rh 0.9915 0.9830 0.6256
Rh 0.2582 0.5165 0.4150
Rh 0.2582 0.5165 0.0850
Rh 0.7617 0.5234 0.2500
Rh 0.2383 0.4766 0.7500
Rh 0.7418 0.4835 0.5850
Rh 0.7418 0.4835 0.9150
Rh 0.0085 0.0170 0.1256
Rh 0.0085 0.0170 0.3744